(1)
Compound: PrEuEr2
Source: Alexandria via LeMat-Bulk
Functional: PBE
Structure: relaxed

Cell and atoms, written as POSCAR:
```
PrEuEr2
1.0
1.779 1.027 12.606
-1.779 1.027 12.606
0.000 -2.054 12.606
Pr Eu Er
1 1 2
Cartesian
0.000 0.000 0.000 Pr
0.000 0.000 18.910 Eu
0.000 0.000 15.501 Er
0.000 0.000 22.318 Er
```

As for the polymorph energy (0 for the lowest one): 0.108 eV/atom. As for the total magnetization: 7.73 μB/cell. The formation energy is 0.179 eV per atom. The volume is 138 Å³/cell.


(2)
Compound: Nb2TcSbCl
Source: Alexandria via LeMat-Bulk
Functional: PBE
Structure: relaxed

Cell and atoms, written as POSCAR:
```
Nb2TcSbCl
1.0
5.325 0.000 0.000
0.000 5.325 0.000
0.000 0.000 5.066
Nb Tc Sb Cl
2 1 1 1
Cartesian
0.000 2.663 0.000 Nb
2.663 0.000 0.000 Nb
0.000 0.000 2.533 Tc
2.663 2.663 0.000 Sb
2.663 2.663 2.533 Cl
```

The uncorrected formation energy is 1879 meV/atom. As for the total magnetization: 1.67 μB/cell. The volume is 144 Å³/cell.


So what do the calculations give for density of states at the Fermi level? Going down the list: 6.28, 8.30 states/eV/f.u..